A geometry-optimized ZnGaSb structure. Source: OQMD, functional PBE.

Lattice parameters (Å, degrees): 4.763 4.763 4.763 60.00 60.00 60.00
Atoms (fractional coordinates):
Sb1 0.750 0.750 0.750
Zn1 0.500 0.500 0.500
Ga1 0.000 0.000 0.000

Properties
V ... 76.4 Å³ per cell
Total DFT energy (no corrections) ... -8.10 eV/cell
Calculated density ... 5.58 g cm⁻³